1.
PBE-GGA BeTl2Re, optimized geometry; Fermi-level density of states = 3.5 states/eV per cell; energy of formation from the pure elements = 1.16 eV/atom
1.0
4.572 0.000 0.000
0.000 4.572 0.000
0.000 0.000 3.524
Be Tl Re
1 2 1
direct
0.000 0.000 0.000
0.000 0.500 0.500
0.500 0.000 0.500
0.500 0.500 0.000


2.
PBE-GGA MgTlOs2, optimized geometry; Fermi-level density of states = 6.6 states/eV per cell; energy of formation from the pure elements = 0.75 eV/atom
1.0
2.833 0.000 0.000
-1.416 2.453 0.000
0.000 0.000 30.327
Mg Tl Os
3 3 6
direct
0.000 0.000 0.000
0.333 0.667 0.667
0.667 0.333 0.333
0.000 0.000 0.500
0.333 0.667 0.167
0.667 0.333 0.833
0.000 0.000 0.260
0.000 0.000 0.740
0.333 0.667 0.407
0.333 0.667 0.926
0.667 0.333 0.074
0.667 0.333 0.593


3.
PBE-GGA LiPr2In2, optimized geometry; Fermi-level density of states = 10.8 states/eV per cell; energy of formation from the pure elements = -0.22 eV/atom
1.0
-3.389 6.664 3.272
3.389 -6.664 3.272
3.389 6.664 -3.272
Li Pr In
2 4 4
direct
0.250 0.250 0.000
0.750 0.750 0.000
0.147 0.709 0.856
0.353 0.209 0.562
0.647 0.791 0.438
0.853 0.291 0.144
0.110 0.227 0.336
0.390 0.727 0.117
0.610 0.273 0.883
0.890 0.773 0.664


4.
PBE-GGA Ta3CdNi, optimized geometry; Fermi-level density of states = 13.1 states/eV per cell; energy of formation from the pure elements = 2.54 eV/atom
1.0
4.925 0.000 0.000
0.000 4.925 0.000
0.000 0.000 4.925
Ta Cd Ni
3 1 1
direct
0.000 0.000 0.500
0.000 0.500 0.000
0.500 0.000 0.000
0.000 0.000 0.000
0.500 0.500 0.500


5.
PBE-GGA PmAlGa2Pd5, optimized geometry; Fermi-level density of states = 4.2 states/eV per cell; energy of formation from the pure elements = -0.49 eV/atom
1.0
4.734 0.000 0.000
0.000 4.734 0.000
0.000 0.000 7.314
Pm Al Ga Pd
1 1 2 5
direct
0.000 0.000 0.000
0.000 0.000 0.500
0.500 0.500 0.335
0.500 0.500 0.665
0.000 0.500 0.286
0.000 0.500 0.714
0.500 0.000 0.286
0.500 0.000 0.714
0.500 0.500 0.000


6.
PBE-GGA Mg4Ga2Sn3, optimized geometry; Fermi-level density of states = 2.9 states/eV per cell; energy of formation from the pure elements = -0.07 eV/atom
1.0
4.876 0.000 0.000
2.356 4.389 0.000
1.022 0.755 9.890
Mg Ga Sn
4 2 3
direct
0.059 0.059 0.191
0.314 0.321 0.596
0.686 0.679 0.404
0.941 0.941 0.809
0.384 0.381 0.276
0.616 0.619 0.724
0.000 0.000 0.500
0.255 0.258 0.903
0.745 0.742 0.097


7.
PBE-GGA CaCuTc2, optimized geometry; Fermi-level density of states = 2.7 states/eV per cell; energy of formation from the pure elements = 0.49 eV/atom
1.0
3.152 0.000 0.000
0.000 4.841 0.000
-0.856 0.000 4.527
Ca Cu Tc
1 1 2
direct
0.000 0.000 0.000
0.500 0.000 0.500
0.333 0.500 0.722
0.667 0.500 0.278


8.
PBE-GGA KTcO3, optimized geometry; Fermi-level density of states = 0.1 states/eV per cell
1.0
6.255 -5.071 0.000
6.255 5.071 0.000
-0.881 0.000 5.534
K Tc O
4 4 12
direct
0.115 0.885 0.750
0.326 0.674 0.250
0.674 0.326 0.750
0.885 0.115 0.250
0.140 0.351 0.905
0.351 0.140 0.405
0.649 0.860 0.595
0.860 0.649 0.095
0.020 0.220 0.703
0.074 0.586 0.883
0.220 0.020 0.203
0.287 0.323 0.186
0.323 0.287 0.686
0.414 0.926 0.617
0.586 0.074 0.383
0.677 0.713 0.314
0.713 0.677 0.814
0.780 0.980 0.797
0.926 0.414 0.117
0.980 0.780 0.297


| no. | VASP energy (eV for the cell shown) | M_tot (μB per cell) |
| --- | --- | --- |
| 1 | -16.27 | 0.00 |
| 2 | -70.28 | 2.10 |
| 3 | -36.12 | 0.00 |
| 4 | -29.57 | 0.00 |
| 5 | -44.93 | 0.00 |
| 6 | -25.08 | 0.00 |
| 7 | -24.86 | 0.00 |
| 8 | -135.31 | 0.00 |